No. 1
Material: BaLi4Ge
Method: DFT, PBE-GGA
State: relaxed

Total moment: 0.0 μB/cell
Space-group type: No. 216
Calculated formation energy: -0.68 eV/f.u.

a b c (Å): 5.7279 5.7279 5.7279
angles (deg): 60.00 60.00 60.00
Atoms (fractional coordinates):
Ba 0.0000 0.0000 0.0000
Li 0.3768 0.3768 0.3768
Li 0.3768 0.3768 0.8696
Li 0.3768 0.8696 0.3768
Li 0.8696 0.3768 0.3768
Ge 0.7500 0.7500 0.7500


No. 2
Material: LiMoOs2
Method: DFT, PBE-GGA
State: relaxed

Total moment: 0.0 μB/cell
Space-group type: No. 225
Calculated formation energy: 0.51 eV/f.u.

a b c (Å): 6.0719 6.0719 6.0719
angles (deg): 90.00 90.00 90.00
Atoms (fractional coordinates):
Li 0.0000 0.0000 0.0000
Li 0.0000 0.5000 0.5000
Li 0.5000 0.0000 0.5000
Li 0.5000 0.5000 0.0000
Mo 0.0000 0.0000 0.5000
Mo 0.0000 0.5000 0.0000
Mo 0.5000 0.0000 0.0000
Mo 0.5000 0.5000 0.5000
Os 0.2500 0.2500 0.2500
Os 0.2500 0.2500 0.7500
Os 0.2500 0.7500 0.2500
Os 0.2500 0.7500 0.7500
Os 0.7500 0.2500 0.2500
Os 0.7500 0.2500 0.7500
Os 0.7500 0.7500 0.2500
Os 0.7500 0.7500 0.7500


No. 3
Material: Tc3NiB
Method: DFT, PBE-GGA
State: relaxed

Total moment: 0.0 μB/cell
Space-group type: No. 221
Calculated formation energy: 1.52 eV/f.u.

a b c (Å): 4.0481 4.0481 4.0481
angles (deg): 90.00 90.00 90.00
Atoms (fractional coordinates):
Tc 0.0000 0.0000 0.5000
Tc 0.0000 0.5000 0.0000
Tc 0.5000 0.0000 0.0000
Ni 0.5000 0.5000 0.5000
B 0.0000 0.0000 0.0000